[1]
# RbHf2NiBi, optimized geometry, DFT PBE
# space-group type: P4/mmm, No. 123
# formation energy from the elements: 2.572 eV per atom
data_RbHf2NiBi
_symmetry_space_group_name_H-M 'P 1'
_symmetry_Int_Tables_number 1
_cell_length_a 5.024
_cell_length_b 5.024
_cell_length_c 5.786
_cell_angle_alpha 90.00
_cell_angle_beta 90.00
_cell_angle_gamma 90.00
loop_
_symmetry_equiv_pos_as_xyz
'x,y,z'
loop_
_atom_site_label
_atom_site_fract_x
_atom_site_fract_y
_atom_site_fract_z
_atom_site_occupancy
Rb1 0.000 0.000 0.000 1
Hf1 0.000 0.500 0.000 1
Hf2 0.500 0.000 0.000 1
Ni1 0.500 0.500 0.500 1
Bi1 0.000 0.000 0.500 1

***

[2]
# HfSi2NiBi, optimized geometry, DFT PBE
# uncorrected formation energy: 1.14 eV/atom
# space-group type: P4/mmm, No. 123
data_HfSi2NiBi
_symmetry_space_group_name_H-M 'P 1'
_symmetry_Int_Tables_number 1
_cell_length_a 5.027
_cell_length_b 5.027
_cell_length_c 5.566
_cell_angle_alpha 90.00
_cell_angle_beta 90.00
_cell_angle_gamma 90.00
loop_
_symmetry_equiv_pos_as_xyz
'x,y,z'
loop_
_atom_site_label
_atom_site_fract_x
_atom_site_fract_y
_atom_site_fract_z
_atom_site_occupancy
Hf1 0.000 0.000 0.000 1
Si1 0.000 0.500 0.000 1
Si2 0.500 0.000 0.000 1
Ni1 0.500 0.500 0.500 1
Bi1 0.000 0.000 0.500 1

***

[3]
# Hf2NiSnBi, optimized geometry, DFT PBE
# space-group type: P4/mmm, No. 123
# formation energy from the elements: 1.508 eV per atom
data_Hf2NiSnBi
_symmetry_space_group_name_H-M 'P 1'
_symmetry_Int_Tables_number 1
_cell_length_a 5.268
_cell_length_b 5.268
_cell_length_c 5.617
_cell_angle_alpha 90.00
_cell_angle_beta 90.00
_cell_angle_gamma 90.00
loop_
_symmetry_equiv_pos_as_xyz
'x,y,z'
loop_
_atom_site_label
_atom_site_fract_x
_atom_site_fract_y
_atom_site_fract_z
_atom_site_occupancy
Hf1 0.000 0.500 0.000 1
Hf2 0.500 0.000 0.000 1
Ni1 0.000 0.000 0.500 1
Sn1 0.500 0.500 0.000 1
Bi1 0.500 0.500 0.500 1

***

[4]
# HfNpBi2, optimized geometry, DFT PBE
# space-group type: R-3m, No. 166
# excess energy over the best structure of this formula in the dataset: 307.9 meV per atom
# formation energy from the elements: 0.379 eV per atom
data_HfNpBi2
_symmetry_space_group_name_H-M 'P 1'
_symmetry_Int_Tables_number 1
_cell_length_a 11.809
_cell_length_b 11.809
_cell_length_c 11.809
_cell_angle_alpha 16.12
_cell_angle_beta 16.12
_cell_angle_gamma 16.12
loop_
_symmetry_equiv_pos_as_xyz
'x,y,z'
loop_
_atom_site_label
_atom_site_fract_x
_atom_site_fract_y
_atom_site_fract_z
_atom_site_occupancy
Hf1 0.000 0.000 0.000 1
Np1 0.500 0.500 0.500 1
Bi1 0.087 0.087 0.087 1
Bi2 0.913 0.913 0.913 1

***

[5]
# HfNpBi2, optimized geometry, DFT PBE
# space-group type: P4/mmm, No. 123
# excess energy over the best structure of this formula in the dataset: 32.6 meV per atom
# formation energy from the elements: 0.104 eV per atom
data_HfNpBi2
_symmetry_space_group_name_H-M 'P 1'
_symmetry_Int_Tables_number 1
_cell_length_a 5.623
_cell_length_b 5.623
_cell_length_c 3.345
_cell_angle_alpha 90.00
_cell_angle_beta 90.00
_cell_angle_gamma 90.00
loop_
_symmetry_equiv_pos_as_xyz
'x,y,z'
loop_
_atom_site_label
_atom_site_fract_x
_atom_site_fract_y
_atom_site_fract_z
_atom_site_occupancy
Hf1 0.000 0.000 0.000 1
Np1 0.500 0.500 0.000 1
Bi1 0.000 0.500 0.500 1
Bi2 0.500 0.000 0.500 1

***

[6]
# HfNpBi2, optimized geometry, DFT PBE
# space-group type: P4/mmm, No. 123
# excess energy over the best structure of this formula in the dataset: 0.0 meV per atom
# formation energy from the elements: 0.071 eV per atom
data_HfNpBi2
_symmetry_space_group_name_H-M 'P 1'
_symmetry_Int_Tables_number 1
_cell_length_a 3.607
_cell_length_b 3.607
_cell_length_c 8.068
_cell_angle_alpha 90.00
_cell_angle_beta 90.00
_cell_angle_gamma 90.00
loop_
_symmetry_equiv_pos_as_xyz
'x,y,z'
loop_
_atom_site_label
_atom_site_fract_x
_atom_site_fract_y
_atom_site_fract_z
_atom_site_occupancy
Hf1 0.000 0.000 0.000 1
Np1 0.000 0.000 0.500 1
Bi1 0.500 0.500 0.229 1
Bi2 0.500 0.500 0.771 1

***

[7]
# HfNpBi, optimized geometry, DFT PBE
# space-group type: R-3m, No. 166
# formation energy from the elements: 0.203 eV per atom
data_HfNpBi
_symmetry_space_group_name_H-M 'P 1'
_symmetry_Int_Tables_number 1
_cell_length_a 8.130
_cell_length_b 8.130
_cell_length_c 8.130
_cell_angle_alpha 35.53
_cell_angle_beta 35.53
_cell_angle_gamma 35.53
loop_
_symmetry_equiv_pos_as_xyz
'x,y,z'
loop_
_atom_site_label
_atom_site_fract_x
_atom_site_fract_y
_atom_site_fract_z
_atom_site_occupancy
Hf1 0.066 0.066 0.066 1
Hf2 0.934 0.934 0.934 1
Np1 0.343 0.343 0.343 1
Np2 0.657 0.657 0.657 1
Bi1 0.208 0.208 0.208 1
Bi2 0.792 0.792 0.792 1

***

[8]
# HfNpBiO6, optimized geometry, DFT PBE
# uncorrected formation energy: -2.60 eV/atom
# space-group type: P-31c, No. 163
data_HfNpBiO6
_symmetry_space_group_name_H-M 'P 1'
_symmetry_Int_Tables_number 1
_cell_length_a 5.657
_cell_length_b 5.657
_cell_length_c 9.741
_cell_angle_alpha 90.00
_cell_angle_beta 90.00
_cell_angle_gamma 120.00
loop_
_symmetry_equiv_pos_as_xyz
'x,y,z'
loop_
_atom_site_label
_atom_site_fract_x
_atom_site_fract_y
_atom_site_fract_z
_atom_site_occupancy
Hf1 0.333 0.667 0.250 1
Hf2 0.667 0.333 0.750 1
Np1 0.333 0.667 0.750 1
Np2 0.667 0.333 0.250 1
Bi1 0.000 0.000 0.000 1
Bi2 0.000 0.000 0.500 1
O1 0.007 0.360 0.138 1
O2 0.007 0.647 0.362 1
O3 0.353 0.360 0.362 1
O4 0.353 0.993 0.138 1
O5 0.360 0.007 0.638 1
O6 0.360 0.353 0.862 1
O7 0.640 0.647 0.138 1
O8 0.640 0.993 0.362 1
O9 0.647 0.007 0.862 1
O10 0.647 0.640 0.638 1
O11 0.993 0.353 0.638 1
O12 0.993 0.640 0.862 1

***

For each record above, in turn, the calculated total DFT energy (no corrections) values are -3.5357 -4.9562 -5.2062 -7.2850 -7.5603 -7.5929 -8.7223 -8.8761 eV/atom.
For each record above, in turn, the calculated magnetic moment values are 0.9 1.0 0.0 4.5 5.0 5.0 4.1 2.0 μB per formula unit.